(1)
Below is an optimized crystal structure of Ba2NaBr5, with properties calculated at the PBE-GGA level.

Computed properties:
Its electronic total energy is -0.136 Ha/atom. Its space group is No. 14. For the total magnetization, the calculation gives 0.0000 μB per atom. The volume is 1233 Å³ per cell. The value obtained for the formation energy from raw total energies is -2.01 eV/atom.

```
data_Ba2NaBr5
_chemical_formula_sum 'Ba8 Na4 Br20'
_space_group_name_H-M_alt 'P 1'
_space_group_IT_number 1
_cell_length_a 13.4009
_cell_length_b 10.2348
_cell_length_c 9.2723
_cell_angle_alpha 90.00
_cell_angle_beta 104.09
_cell_angle_gamma 90.00
loop_
_space_group_symop_operation_xyz
'x,y,z'
loop_
_atom_site_label
_atom_site_type_symbol
_atom_site_fract_x
_atom_site_fract_y
_atom_site_fract_z
_atom_site_occupancy
Ba1 Ba 0.0341 0.1243 0.2569 1
Ba2 Ba 0.0341 0.3757 0.7569 1
Ba3 Ba 0.3844 0.1285 0.0494 1
Ba4 Ba 0.3844 0.3715 0.5494 1
Ba5 Ba 0.6156 0.6285 0.4506 1
Ba6 Ba 0.6156 0.8715 0.9506 1
Ba7 Ba 0.9659 0.6243 0.2431 1
Ba8 Ba 0.9659 0.8757 0.7431 1
Na1 Na 0.3190 0.6106 0.0755 1
Na2 Na 0.3190 0.8894 0.5755 1
Na3 Na 0.6810 0.1106 0.4245 1
Na4 Na 0.6810 0.3894 0.9245 1
Br1 Br 0.0885 0.6444 0.9709 1
Br2 Br 0.0885 0.8556 0.4709 1
Br3 Br 0.1157 0.1001 0.9384 1
Br4 Br 0.1157 0.3999 0.4384 1
Br5 Br 0.2834 0.1109 0.3440 1
Br6 Br 0.2834 0.3891 0.8440 1
Br7 Br 0.3495 0.6685 0.3991 1
Br8 Br 0.3495 0.8315 0.8991 1
Br9 Br 0.4598 0.0982 0.7343 1
Br10 Br 0.4598 0.4018 0.2343 1
Br11 Br 0.5402 0.5982 0.7657 1
Br12 Br 0.5402 0.9018 0.2657 1
Br13 Br 0.6505 0.1685 0.1009 1
Br14 Br 0.6505 0.3315 0.6009 1
Br15 Br 0.7166 0.6109 0.1560 1
Br16 Br 0.7166 0.8891 0.6560 1
Br17 Br 0.8843 0.6001 0.5616 1
Br18 Br 0.8843 0.8999 0.0616 1
Br19 Br 0.9115 0.1444 0.5291 1
Br20 Br 0.9115 0.3556 0.0291 1
```

(2)
Below is an optimized crystal structure of Tm5Tl4Pt, with properties calculated at the PBE-GGA level.

Computed properties:
Its electronic total energy is -0.158 Ha/atom. As for the energy of formation: -517 meV/atom. Its space group is No. 123. For the total magnetization, the calculation gives 0.0243 μB per atom. The volume is 253 Å³ per cell.

```
data_Tm5Tl4Pt
_chemical_formula_sum 'Tm5 Tl4 Pt1'
_space_group_name_H-M_alt 'P 1'
_space_group_IT_number 1
_cell_length_a 3.5346
_cell_length_b 3.5346
_cell_length_c 20.2254
_cell_angle_alpha 90.00
_cell_angle_beta 90.00
_cell_angle_gamma 90.00
loop_
_space_group_symop_operation_xyz
'x,y,z'
loop_
_atom_site_label
_atom_site_type_symbol
_atom_site_fract_x
_atom_site_fract_y
_atom_site_fract_z
_atom_site_occupancy
Tm1 Tm 0.0000 0.0000 0.0000 1
Tm2 Tm 0.0000 0.0000 0.2088 1
Tm3 Tm 0.0000 0.0000 0.4186 1
Tm4 Tm 0.0000 0.0000 0.5814 1
Tm5 Tm 0.0000 0.0000 0.7912 1
Tl1 Tl 0.5000 0.5000 0.1042 1
Tl2 Tl 0.5000 0.5000 0.3113 1
Tl3 Tl 0.5000 0.5000 0.6887 1
Tl4 Tl 0.5000 0.5000 0.8958 1
Pt1 Pt 0.5000 0.5000 0.5000 1
```

Question: Which of these has the lowest electronic total energy?
Answer: Tm5Tl4Pt